[1]
{
  "formula": "SrGa2SnSe6",
  "functional": "PBE-GGA",
  "state": "optimized geometry",
  "lattice_angstrom": [[7.1067, -6.0737, 0.0000], [7.1067, 6.0737, 0.0000], [-3.2832, 0.0000, 7.0339]],
  "species": ["Sr", "Sr", "Ga", "Ga", "Ga", "Ga", "Sn", "Sn", "Se", "Se", "Se", "Se", "Se", "Se", "Se", "Se", "Se", "Se", "Se", "Se"],
  "frac_coords": [[0.1644, 0.8356, 0.7500], [0.8356, 0.1644, 0.2500], [0.2501, 0.3688, 0.8193], [0.3688, 0.2501, 0.3193], [0.6312, 0.7499, 0.6807], [0.7499, 0.6312, 0.1807], [0.1879, 0.8121, 0.2500], [0.8121, 0.1879, 0.7500], [0.0588, 0.1691, 0.6514], [0.1054, 0.6081, 0.9277], [0.1691, 0.0588, 0.1514], [0.2815, 0.4453, 0.5584], [0.3919, 0.8946, 0.5723], [0.4453, 0.2815, 0.0584], [0.5547, 0.7185, 0.9416], [0.6081, 0.1054, 0.4277], [0.7185, 0.5547, 0.4416], [0.8309, 0.9412, 0.8486], [0.8946, 0.3919, 0.0723], [0.9412, 0.8309, 0.3486]],
  "raw_formation_energy_ev_per_atom": -0.7052
}

[2]
{
  "formula": "TcIrRu3",
  "functional": "PBE-GGA",
  "state": "optimized geometry",
  "lattice_angstrom": [[4.5531, 0.0000, 0.0000], [0.0000, 4.5531, 0.0000], [0.0000, 0.0000, 4.5531]],
  "species": ["Tc", "Ir", "Ru", "Ru", "Ru"],
  "frac_coords": [[0.0000, 0.0000, 0.0000], [0.5000, 0.5000, 0.5000], [0.0000, 0.0000, 0.5000], [0.0000, 0.5000, 0.0000], [0.5000, 0.0000, 0.0000]],
  "formation_energy_ev_per_atom": 1.9525
}

[3]
{
  "formula": "Pr2MnGe3Rh4",
  "functional": "PBE-GGA",
  "state": "optimized geometry",
  "lattice_angstrom": [[4.2086, 0.0000, 0.0000], [0.0000, 4.2086, 0.0000], [0.0000, 0.0000, 10.4701]],
  "species": ["Pr", "Pr", "Mn", "Ge", "Ge", "Ge", "Rh", "Rh", "Rh", "Rh"],
  "frac_coords": [[0.0000, 0.5000, 0.2501], [0.5000, 0.0000, 0.7499], [0.0000, 0.0000, 0.5000], [0.0000, 0.5000, 0.8722], [0.5000, 0.0000, 0.1278], [0.5000, 0.5000, 0.5000], [0.0000, 0.0000, 0.0000], [0.0000, 0.5000, 0.6356], [0.5000, 0.0000, 0.3644], [0.5000, 0.5000, 0.0000]],
  "formation_energy_ev_per_atom": -0.7661
}

[4]
{
  "formula": "Sm3Cu2Ag4",
  "functional": "PBE-GGA",
  "state": "optimized geometry",
  "lattice_angstrom": [[5.3574, -2.3257, 0.0000], [5.3574, 2.3257, 0.0000], [-3.6573, 0.0000, 7.9690]],
  "species": ["Sm", "Sm", "Sm", "Cu", "Cu", "Ag", "Ag", "Ag", "Ag"],
  "frac_coords": [[0.0000, 0.0000, 0.0000], [0.3258, 0.3258, 0.3462], [0.6742, 0.6742, 0.6538], [0.4048, 0.4048, 0.7305], [0.5952, 0.5952, 0.2695], [0.0423, 0.0423, 0.3712], [0.2809, 0.2809, 0.9359], [0.7191, 0.7191, 0.0641], [0.9577, 0.9577, 0.6288]],
  "formation_energy_ev_per_atom": -0.2251
}

[5]
{
  "formula": "CuMo2Rh",
  "functional": "PBE-GGA",
  "state": "optimized geometry",
  "lattice_angstrom": [[2.6709, -4.0199, 0.0000], [2.6709, 4.0199, 0.0000], [0.0000, 0.0000, 2.6953]],
  "species": ["Cu", "Mo", "Mo", "Rh"],
  "frac_coords": [[0.0000, 0.0000, 0.0000], [0.0000, 0.5000, 0.5000], [0.5000, 0.0000, 0.5000], [0.5000, 0.5000, 0.0000]],
  "formation_energy_ev_per_atom": 0.0502
}

[6]
{
  "formula": "CeAgSb2",
  "functional": "PBE-GGA",
  "state": "optimized geometry",
  "lattice_angstrom": [[2.2823, 1.3177, 8.6233], [-2.2823, 1.3177, 8.6233], [0.0000, -2.6353, 8.6233]],
  "species": ["Ce", "Ag", "Sb", "Sb"],
  "frac_coords": [[0.0000, 0.0000, 0.0000], [0.5000, 0.5000, 0.5000], [0.3974, 0.3974, 0.3974], [0.6026, 0.6026, 0.6026]],
  "raw_formation_energy_ev_per_atom": -0.0304
}

[7]
{
  "formula": "Ho2Mg2Sc7",
  "functional": "PBE-GGA",
  "state": "optimized geometry",
  "lattice_angstrom": [[5.4563, -5.2821, 0.0000], [5.4563, 5.2821, 0.0000], [-1.8383, 0.0000, 4.9643]],
  "species": ["Ho", "Ho", "Mg", "Mg", "Sc", "Sc", "Sc", "Sc", "Sc", "Sc", "Sc"],
  "frac_coords": [[0.2153, 0.7847, 0.0000], [0.7847, 0.2153, 0.0000], [0.4208, 0.4208, 0.7093], [0.5792, 0.5792, 0.2907], [0.0000, 0.0000, 0.5000], [0.0275, 0.6015, 0.3238], [0.2281, 0.2281, 0.1383], [0.3985, 0.9725, 0.6762], [0.6015, 0.0275, 0.3238], [0.7719, 0.7719, 0.8617], [0.9725, 0.3985, 0.6762]],
  "formation_energy_ev_per_atom": 0.1750
}

[8]
{
  "formula": "Cs2Hg2SbI4",
  "functional": "PBE-GGA",
  "state": "optimized geometry",
  "lattice_angstrom": [[-4.6185, 4.6185, 4.6624], [4.6185, -4.6185, 4.6624], [4.6185, 4.6185, -4.6624]],
  "species": ["Cs", "Cs", "Hg", "Hg", "Sb", "I", "I", "I", "I"],
  "frac_coords": [[0.2500, 0.7500, 0.5000], [0.7500, 0.2500, 0.5000], [0.1633, 0.1633, 0.0000], [0.8367, 0.8367, 0.0000], [0.5000, 0.5000, 0.0000], [0.2650, 0.2650, 0.5299], [0.2650, 0.7350, 0.0000], [0.7350, 0.2650, 0.0000], [0.7350, 0.7350, 0.4701]],
  "raw_formation_energy_ev_per_atom": -0.7749
}

| no. | mass density (kg/m³) |
| --- | --- |
| 1 | 4482 |
| 2 | 10440 |
| 3 | 8652 |
| 4 | 8443 |
| 5 | 10281 |
| 6 | 5245 |
| 7 | 4022 |
| 8 | 5411 |